First-principles (PBE) data for a relaxed structure of TePPb2, as listed in Alexandria via LeMat-Bulk.

Output
calculated volume = 223.7 Å³ per cell
total energy = -3.801 eV/atom
formation energy from raw total energies = 0.76 eV per formula unit
size of the total moment = 0.0 μB per cell

extended XYZ file:
```
8
Lattice="6.641 0.000 0.000 0.000 8.227 0.000 0.000 0.000 4.094" Properties=species:S:1:pos:R:3 pbc="T T T"
Te 0.000 0.000 0.000
Te 3.320 4.113 0.000
P 0.000 4.113 0.000
P 3.320 0.000 0.000
Pb 1.660 2.057 2.047
Pb 1.660 6.170 2.047
Pb 4.981 2.057 2.047
Pb 4.981 6.170 2.047
```

First-principles (PBE) data for a relaxed structure of Te2PPb, as listed in Alexandria via LeMat-Bulk.

Output
calculated volume = 416.2 Å³ per cell
total energy = -3.440 eV/atom
formation energy from raw total energies = 1.64 eV per formula unit
size of the total moment = 0.0 μB per cell

extended XYZ file:
```
16
Lattice="7.466 0.000 0.000 0.000 7.466 0.000 0.000 0.000 7.466" Properties=species:S:1:pos:R:3 pbc="T T T"
Te 0.000 0.000 0.000
Te 0.000 3.733 3.733
Te 1.867 1.867 1.867
Te 1.867 5.600 5.600
Te 3.733 0.000 3.733
Te 3.733 3.733 0.000
Te 5.600 1.867 5.600
Te 5.600 5.600 1.867
P 0.000 0.000 3.733
P 0.000 3.733 0.000
P 3.733 0.000 0.000
P 3.733 3.733 3.733
Pb 1.867 1.867 5.600
Pb 1.867 5.600 1.867
Pb 5.600 1.867 1.867
Pb 5.600 5.600 5.600
```

First-principles (PBE) data for a relaxed structure of TePPb4, as listed in Alexandria via LeMat-Bulk.

Output
calculated volume = 187.2 Å³ per cell
total energy = -3.406 eV/atom
formation energy from raw total energies = 2.95 eV per formula unit
size of the total moment = 0.0 μB per cell

extended XYZ file:
```
6
Lattice="0.000 4.540 4.540 4.540 0.000 4.540 4.540 4.540 0.000" Properties=species:S:1:pos:R:3 pbc="T T T"
Te 0.000 0.000 0.000
P 6.810 6.810 6.810
Pb 3.408 3.408 3.408
Pb 5.672 5.672 3.408
Pb 5.672 3.408 5.672
Pb 3.408 5.672 5.672
```

First-principles (PBE) data for a relaxed structure of TePPb, as listed in Alexandria via LeMat-Bulk.

Output
calculated volume = 81.0 Å³ per cell
total energy = -3.875 eV/atom
formation energy from raw total energies = 0.64 eV per formula unit
size of the total moment = 0.0 μB per cell

extended XYZ file:
```
3
Lattice="4.189 0.000 0.000 -2.095 3.628 0.000 0.000 0.000 5.331" Properties=species:S:1:pos:R:3 pbc="T T T"
Te 0.000 0.000 0.000
P 0.000 2.419 1.695
Pb 2.095 1.209 3.206
```

First-principles (PBE) data for a relaxed structure of Te2PPb, as listed in Alexandria via LeMat-Bulk.

Output
calculated volume = 217.7 Å³ per cell
total energy = -3.439 eV/atom
formation energy from raw total energies = 1.65 eV per formula unit
size of the total moment = 0.0 μB per cell

extended XYZ file:
```
8
Lattice="4.417 0.000 0.000 0.000 4.417 0.000 0.000 0.000 11.157" Properties=species:S:1:pos:R:3 pbc="T T T"
Te 0.000 0.000 0.000
Te 0.000 2.209 2.789
Te 2.209 0.000 8.367
Te 2.209 2.209 5.578
P 0.000 2.209 8.367
P 2.209 0.000 2.789
Pb 0.000 0.000 5.578
Pb 2.209 2.209 0.000
```

First-principles (PBE) data for a relaxed structure of Te2PPb, as listed in Alexandria via LeMat-Bulk.

Output
calculated volume = 232.5 Å³ per cell
total energy = -3.711 eV/atom
formation energy from raw total energies = 0.56 eV per formula unit
size of the total moment = 0.0 μB per cell

extended XYZ file:
```
8
Lattice="12.868 0.000 0.000 0.000 4.382 0.000 -1.473 0.000 4.124" Properties=species:S:1:pos:R:3 pbc="T T T"
Te 2.657 0.000 0.962
Te 2.304 2.191 3.162
Te 9.091 2.191 0.962
Te 8.738 0.000 3.162
P 0.000 0.000 0.000
P 6.434 2.191 0.000
Pb -0.737 2.191 2.062
Pb 5.697 0.000 2.062
```

First-principles (PBE) data for a relaxed structure of TePPb2, as listed in Alexandria via LeMat-Bulk.

Output
calculated volume = 434.7 Å³ per cell
total energy = -3.615 eV/atom
formation energy from raw total energies = 1.51 eV per formula unit
size of the total moment = 0.0 μB per cell

extended XYZ file:
```
16
Lattice="7.575 0.000 0.000 0.000 7.575 0.000 0.000 0.000 7.575" Properties=species:S:1:pos:R:3 pbc="T T T"
Te 0.000 0.000 0.000
Te 0.000 3.788 3.788
Te 3.788 0.000 3.788
Te 3.788 3.788 0.000
P 1.894 1.894 1.894
P 1.894 5.682 5.682
P 5.682 1.894 5.682
P 5.682 5.682 1.894
Pb 0.000 0.000 3.788
Pb 0.000 3.788 0.000
Pb 1.894 1.894 5.682
Pb 1.894 5.682 1.894
Pb 3.788 0.000 0.000
Pb 3.788 3.788 3.788
Pb 5.682 1.894 1.894
Pb 5.682 5.682 5.682
```

First-principles (PBE) data for a relaxed structure of TePPb, as listed in Alexandria via LeMat-Bulk.

Output
calculated volume = 159.3 Å³ per cell
total energy = -3.816 eV/atom
formation energy from raw total energies = 0.81 eV per formula unit
size of the total moment = 0.0 μB per cell

extended XYZ file:
```
6
Lattice="3.827 0.000 0.000 0.000 3.827 0.000 0.000 0.000 10.872" Properties=species:S:1:pos:R:3 pbc="T T T"
Te 0.000 0.000 0.000
Te 1.914 1.914 5.436
P 0.000 0.000 6.306
P 1.914 1.914 0.870
Pb 0.000 0.000 3.204
Pb 1.914 1.914 8.641
```

Which of these has the lowest total energy?
number 4

Look up the total energy of the eighth one.
-3.816 eV/atom

What did the fifth record say?
First-principles (PBE) data for a relaxed structure of Te2PPb, as listed in Alexandria via LeMat-Bulk.

Output
calculated volume = 217.7 Å³ per cell
total energy = -3.439 eV/atom
formation energy from raw total energies = 1.65 eV per formula unit
size of the total moment = 0.0 μB per cell

extended XYZ file:
```
8
Lattice="4.417 0.000 0.000 0.000 4.417 0.000 0.000 0.000 11.157" Properties=species:S:1:pos:R:3 pbc="T T T"
Te 0.000 0.000 0.000
Te 0.000 2.209 2.789
Te 2.209 0.000 8.367
Te 2.209 2.209 5.578
P 0.000 2.209 8.367
P 2.209 0.000 2.789
Pb 0.000 0.000 5.578
Pb 2.209 2.209 0.000
```

What did the first record say?
First-principles (PBE) data for a relaxed structure of TePPb2, as listed in Alexandria via LeMat-Bulk.

Output
calculated volume = 223.7 Å³ per cell
total energy = -3.801 eV/atom
formation energy from raw total energies = 0.76 eV per formula unit
size of the total moment = 0.0 μB per cell

extended XYZ file:
```
8
Lattice="6.641 0.000 0.000 0.000 8.227 0.000 0.000 0.000 4.094" Properties=species:S:1:pos:R:3 pbc="T T T"
Te 0.000 0.000 0.000
Te 3.320 4.113 0.000
P 0.000 4.113 0.000
P 3.320 0.000 0.000
Pb 1.660 2.057 2.047
Pb 1.660 6.170 2.047
Pb 4.981 2.057 2.047
Pb 4.981 6.170 2.047
```